The following is a PBE calculation of a relaxed structure of Tm2NiP3Ir4, from the Alexandria database.

The space group is No. 115. The value obtained for the size of the total moment is 0.00 μB/atom. The calculation puts the volume at 16.0 Å³ per atom. The total energy is -7.524 eV per atom. The value obtained for the calculated density is 13071 kg/m³.

a b c (Å): 4.037 4.037 9.807
angles (deg): 90.00 90.00 90.00
Element x y z (fractional)
Tm: 0.500 0.000 0.258
Tm: 0.000 0.500 0.742
Ni: 0.500 0.500 0.500
P: 0.000 0.000 0.500
P: 0.500 0.000 0.861
P: 0.000 0.500 0.139
Ir: 0.500 0.500 0.000
Ir: 0.000 0.000 0.000
Ir: 0.500 0.000 0.632
Ir: 0.000 0.500 0.368

The following is a PBE calculation of a relaxed structure of KMg5, from the Alexandria database.

The space group is No. 65. The value obtained for the size of the total moment is 0.00 μB/atom. The calculation puts the volume at 28.2 Å³ per atom. The calculation puts the energy relative to the lowest polymorph listed for this composition at 0.48 eV/f.u. The value obtained for the calculated density is 1578 kg/m³.

a b c (Å): 7.420 7.420 4.981
angles (deg): 90.00 90.00 141.94
Element x y z (fractional)
K: 0.500 0.500 0.000
Mg: 0.322 0.678 0.500
Mg: 0.180 0.820 0.000
Mg: 0.000 0.000 0.500
Mg: 0.820 0.180 0.000
Mg: 0.678 0.322 0.500

The following is a PBE calculation of a relaxed structure of NaPtN2, from the Alexandria database.

The space group is No. 122. The value obtained for the size of the total moment is 0.00 μB/atom. The calculation puts the volume at 14.5 Å³ per atom. The calculation puts the energy relative to the lowest polymorph listed for this composition at 2.85 eV/f.u. The formation energy (no corrections) comes out at 0.651 eV/atom. The value obtained for the calculated density is 7023 kg/m³.

a b c (Å): 5.900 5.900 5.346
angles (deg): 56.51 56.51 90.00
Element x y z (fractional)
Na: 0.500 0.500 0.000
Na: 0.250 0.750 0.500
Pt: 0.000 0.000 0.000
Pt: 0.750 0.250 0.500
N: 0.710 0.125 0.250
N: 0.040 0.625 0.250
N: 0.375 0.290 0.750
N: 0.875 0.960 0.750

The following is a PBE calculation of a relaxed structure of CrAgCl2, from the Alexandria database.

The space group is No. 35. The value obtained for the size of the total moment is 1.12 μB/atom. The calculation puts the volume at 23.2 Å³ per atom. The calculation puts the energy relative to the lowest polymorph listed for this composition at 0.91 eV/f.u. The formation energy (no corrections) comes out at -0.167 eV/atom. The value obtained for the calculated density is 4125 kg/m³.

a b c (Å): 3.529 3.529 7.930
angles (deg): 90.00 90.00 109.80
Each line ends with the local moment (μB).
Element x y z (fractional)
Cr: 0.000 0.000 0.500  3.86
Ag: 0.500 0.500 0.741  0.04
Cl: 0.000 0.000 0.923  0.03
Cl: 0.500 0.500 0.335  0.02

The following is a PBE calculation of a relaxed structure of MgMn2P, from the Alexandria database.

The space group is No. 123. The value obtained for the size of the total moment is 1.26 μB/atom. The calculation puts the volume at 13.1 Å³ per atom. The total energy is -6.345 eV per atom. The value obtained for the calculated density is 5226 kg/m³.

a b c (Å): 3.773 3.773 3.686
angles (deg): 90.00 90.00 90.00
Each line ends with the local moment (μB).
Element x y z (fractional)
Mg: 0.000 0.500 0.500  -0.03
Mn: 0.000 0.000 0.000  2.49
Mn: 0.500 0.500 0.000  2.49
P: 0.500 0.000 0.500  -0.06

The following is a PBE calculation of a relaxed structure of LaSc3Ag2, from the Alexandria database.

The space group is No. 123. The value obtained for the size of the total moment is 0.00 μB/atom. The calculation puts the volume at 23.6 Å³ per atom. The total energy is -5.089 eV per atom. The value obtained for the calculated density is 5748 kg/m³.

a b c (Å): 3.448 3.448 11.894
angles (deg): 90.00 90.00 90.00
Element x y z (fractional)
La: 0.500 0.500 0.500
Sc: 0.000 0.000 0.000
Sc: 0.000 0.000 0.286
Sc: 0.000 0.000 0.714
Ag: 0.500 0.500 0.146
Ag: 0.500 0.500 0.854

The following is a PBE calculation of a relaxed structure of GeHPd3, from the Alexandria database.

The space group is No. 221. The value obtained for the size of the total moment is 0.00 μB/atom. The calculation puts the volume at 12.8 Å³ per atom. The calculation puts the energy relative to the lowest polymorph listed for this composition at 0.29 eV/f.u. The value obtained for the calculated density is 10189 kg/m³.

a b c (Å): 4.001 4.001 4.001
angles (deg): 90.00 90.00 90.00
Element x y z (fractional)
H: 0.000 0.000 0.000
Ge: 0.500 0.500 0.500
Pd: 0.000 0.500 0.000
Pd: 0.000 0.000 0.500
Pd: 0.500 0.000 0.000

The following is a PBE calculation of a relaxed structure of MgZrGeRu, from the Alexandria database.

The space group is No. 216. The value obtained for the size of the total moment is 0.00 μB/atom. The calculation puts the volume at 16.5 Å³ per atom. The total energy is -6.356 eV per atom. The value obtained for the calculated density is 7271 kg/m³.

a b c (Å): 4.538 4.538 4.538
angles (deg): 60.00 60.00 60.00
Element x y z (fractional)
Ru: 0.250 0.250 0.250
Ge: 0.000 0.000 0.000
Mg: 0.750 0.750 0.750
Zr: 0.500 0.500 0.500

The following is a PBE calculation of a relaxed structure of TlCuBr, from the Alexandria database.

The space group is No. 216. The value obtained for the size of the total moment is 0.00 μB/atom. The calculation puts the volume at 26.6 Å³ per atom. The calculation puts the energy relative to the lowest polymorph listed for this composition at 0.65 eV/f.u. The formation energy (no corrections) comes out at 0.094 eV/atom. The value obtained for the calculated density is 7233 kg/m³.

a b c (Å): 4.834 4.834 4.834
angles (deg): 60.00 60.00 60.00
Element x y z (fractional)
Br: 0.500 0.500 0.500
Cu: 0.750 0.750 0.750
Tl: 0.000 0.000 0.000

The following is a PBE calculation of a relaxed structure of Tm2PtS, from the Alexandria database.

The space group is No. 63. The value obtained for the size of the total moment is 0.00 μB/atom. The calculation puts the volume at 21.2 Å³ per atom. The calculation puts the energy relative to the lowest polymorph listed for this composition at 0.00 eV/f.u. The formation energy (no corrections) comes out at -1.624 eV/atom. The value obtained for the calculated density is 11039 kg/m³.

a b c (Å): 4.115 3.757 11.154
angles (deg): 99.70 90.00 90.00
Element x y z (fractional)
Tm: 0.750 0.681 0.363
Tm: 0.250 0.319 0.637
Tm: 0.750 0.933 0.867
Tm: 0.250 0.067 0.133
Pt: 0.250 0.451 0.902
Pt: 0.750 0.549 0.098
S: 0.250 0.194 0.388
S: 0.750 0.806 0.612

The following is a PBE calculation of a relaxed structure of Hf2Pd5, from the Alexandria database.

The space group is No. 72. The value obtained for the size of the total moment is 0.00 μB/atom. The calculation puts the volume at 17.1 Å³ per atom. The total energy is -7.266 eV per atom. The value obtained for the calculated density is 12355 kg/m³.

a b c (Å): 5.684 6.862 7.576
angles (deg): 116.93 112.03 90.00
Element x y z (fractional)
Hf: 0.390 0.692 0.780
Hf: 0.610 0.308 0.220
Hf: 0.890 0.089 0.780
Hf: 0.110 0.911 0.220
Pd: 0.114 0.322 0.228
Pd: 0.886 0.678 0.772
Pd: 0.614 0.907 0.228
Pd: 0.386 0.093 0.772
Pd: 0.479 0.729 0.457
Pd: 0.021 0.271 0.543
Pd: 0.521 0.271 0.543
Pd: 0.979 0.729 0.457
Pd: 0.750 0.500 0.000
Pd: 0.250 0.500 0.000

The following is a PBE calculation of a relaxed structure of NpGe2Rh2, from the Alexandria database.

The space group is No. 139. The value obtained for the size of the total moment is 0.86 μB/atom. The calculation puts the volume at 17.8 Å³ per atom. The total energy is -7.916 eV per atom. The value obtained for the calculated density is 10953 kg/m³.

a b c (Å): 6.023 6.023 6.023
angles (deg): 140.09 140.09 57.71
Each line ends with the local moment (μB).
Element x y z (fractional)
Np: 0.000 0.000 0.000  3.88
Ge: 0.621 0.621 0.000  0.00
Ge: 0.379 0.379 0.000  0.00
Rh: 0.250 0.750 0.500  0.04
Rh: 0.750 0.250 0.500  0.04

The following is a PBE calculation of a relaxed structure of Nd3Y4Er4, from the Alexandria database.

The space group is No. 38. The value obtained for the size of the total moment is 0.00 μB/atom. The calculation puts the volume at 33.2 Å³ per atom. The calculation puts the energy relative to the lowest polymorph listed for this composition at 0.00 eV/f.u. The value obtained for the calculated density is 6617 kg/m³.

a b c (Å): 5.718 6.678 10.599
angles (deg): 90.00 90.00 115.35
Element x y z (fractional)
Nd: 0.409 0.819 0.289
Nd: 0.409 0.819 0.711
Nd: 0.255 0.510 0.000
Y: 0.749 0.499 0.788
Y: 0.749 0.499 0.212
Y: 0.887 0.774 0.500
Y: 0.960 0.920 0.000
Er: 0.614 0.229 0.500
Er: 0.554 0.107 0.000
Er: 0.105 0.210 0.700
Er: 0.105 0.210 0.300

The following is a PBE calculation of a relaxed structure of Ho4IrRh, from the Alexandria database.

The space group is No. 15. The value obtained for the size of the total moment is 0.00 μB/atom. The calculation puts the volume at 24.8 Å³ per atom. The calculation puts the energy relative to the lowest polymorph listed for this composition at 0.00 eV/f.u. The value obtained for the calculated density is 10650 kg/m³.

a b c (Å): 6.225 7.431 7.894
angles (deg): 114.07 108.63 99.16
Element x y z (fractional)
Ho: 0.007 0.244 0.876
Ho: 0.789 0.685 0.639
Ho: 0.368 0.632 0.876
Ho: 0.350 0.954 0.639
Ho: 0.650 0.046 0.361
Ho: 0.632 0.368 0.124
Ho: 0.211 0.315 0.361
Ho: 0.993 0.756 0.124
Ir: 0.387 0.637 0.274
Ir: 0.613 0.363 0.726
Rh: 0.251 0.001 0.003
Rh: 0.749 0.999 0.997

The following is a PBE calculation of a relaxed structure of CeHoGaHg, from the Alexandria database.

The space group is No. 216. The value obtained for the size of the total moment is 0.28 μB/atom. The calculation puts the volume at 25.4 Å³ per atom. The total energy is -3.884 eV per atom. The value obtained for the calculated density is 9420 kg/m³.

a b c (Å): 5.235 5.235 5.235
angles (deg): 60.00 60.00 60.00
Each line ends with the local moment (μB).
Element x y z (fractional)
Ga: 0.250 0.250 0.250  -0.01
Hg: 0.750 0.750 0.750  0.02
Ce: 0.000 0.000 0.000  0.72
Ho: 0.500 0.500 0.500  0.14

The following is a PBE calculation of a relaxed structure of NdDyGa4, from the Alexandria database.

The space group is No. 191. The value obtained for the size of the total moment is 0.00 μB/atom. The calculation puts the volume at 21.9 Å³ per atom. The calculation puts the energy relative to the lowest polymorph listed for this composition at 0.00 eV/f.u. The value obtained for the calculated density is 7413 kg/m³.

a b c (Å): 4.245 4.245 8.407
angles (deg): 90.00 90.00 120.00
Element x y z (fractional)
Nd: 0.000 0.000 0.500
Dy: 0.000 0.000 0.000
Ga: 0.333 0.667 0.242
Ga: 0.333 0.667 0.758
Ga: 0.667 0.333 0.242
Ga: 0.667 0.333 0.758